PBE-GGA TaCdB4, optimized geometry; energy = -39.092 eV/cell; total moment = 0.0 μB/f.u.; symmetry = Immm; energy above the lowest structure with this stoichiometry = 0.175 eV per atom
1.0
-1.539 2.665 3.701
1.539 -2.665 3.701
1.539 2.665 -3.701
Ta Cd B
1 1 4
Cartesian
0.000 0.000 0.000
0.000 0.000 3.701
1.539 -0.883 1.817
1.539 0.883 1.817
0.000 1.782 1.885
0.000 3.549 1.885

PBE-GGA Zr4TlBiC2, optimized geometry; energy = -64.140 eV/cell; total moment = 0.0 μB/f.u.; symmetry = P-6m2
1.0
3.426 0.000 0.000
-1.713 2.967 0.000
0.000 0.000 14.873
Zr Tl Bi C
4 1 1 2
Cartesian
0.000 0.000 2.486
0.000 0.000 12.388
0.000 1.978 4.923
0.000 1.978 9.950
0.000 0.000 7.437
0.000 1.978 0.000
1.713 0.989 3.716
1.713 0.989 11.157

PBE-GGA ErHf, optimized geometry; energy = -9.502 eV/cell; total moment = 0.0 μB/f.u.; symmetry = F-43m; energy above the lowest structure with this stoichiometry = 2.376 eV per atom; calculated formation energy = 2.508 eV/atom
1.0
0.000 3.318 3.318
3.318 0.000 3.318
3.318 3.318 0.000
Er Hf
1 1
Cartesian
0.000 0.000 0.000
4.978 4.978 4.978

PBE-GGA LuCuSnTe3, optimized geometry; energy = -100.565 eV/cell; total moment = 0.0 μB/f.u.; symmetry = Pnma; energy above the lowest structure with this stoichiometry = 0.052 eV per atom
1.0
12.285 0.000 0.000
0.000 4.343 0.000
0.000 0.000 12.249
Lu Cu Sn Te
4 4 4 12
Cartesian
0.372 1.086 2.336
5.771 3.258 8.461
6.514 1.086 3.788
11.913 3.258 9.913
2.848 3.258 3.679
3.295 1.086 9.804
8.990 3.258 2.445
9.437 1.086 8.570
2.462 1.086 5.774
3.680 3.258 11.898
8.605 1.086 0.351
9.823 3.258 6.475
0.384 3.258 4.496
1.206 1.086 11.485
2.704 3.258 8.415
3.439 1.086 2.290
4.937 3.258 5.360
5.758 1.086 10.620
6.527 3.258 1.628
7.348 1.086 6.888
8.846 3.258 9.959
9.581 1.086 3.834
11.079 3.258 0.764
11.901 1.086 7.753

PBE-GGA AlReHg2, optimized geometry; energy = -13.556 eV/cell; total moment = 0.0 μB/f.u.; symmetry = F-43m
1.0
0.000 3.306 3.306
3.306 0.000 3.306
3.306 3.306 0.000
Al Re Hg
1 1 2
Cartesian
0.000 0.000 0.000
1.653 1.653 1.653
3.306 3.306 3.306
4.960 4.960 4.960

PBE-GGA YMgZn2, optimized geometry; energy = -11.473 eV/cell; total moment = 0.2 μB/f.u.; symmetry = P4/mmm
1.0
3.371 0.000 0.000
0.000 3.371 0.000
0.000 0.000 7.054
Y Mg Zn
1 1 2
Cartesian
0.000 0.000 0.000
0.000 0.000 3.527
1.686 1.686 1.959
1.686 1.686 5.095